Record 1
Material: Ac2SmAu4
Method: DFT, GGA-PBE
State: optimized geometry

```
data_Ac2SmAu4
_chemical_formula_sum 'Ac2 Sm1 Au4'
_cell_length_a 7.754
_cell_length_b 7.754
_cell_length_c 7.754
_cell_angle_alpha 138.16
_cell_angle_beta 138.16
_cell_angle_gamma 60.67
_space_group_name_H-M_alt 'P 1'
_space_group_IT_number 1
loop_
_space_group_symop_operation_xyz
'x,y,z'
loop_
_atom_site_label
_atom_site_fract_x
_atom_site_fract_y
_atom_site_fract_z
_atom_site_occupancy
Ac1 0.214 0.214 0.000 1
Ac2 0.786 0.786 0.000 1
Sm1 0.500 0.500 0.000 1
Au1 0.109 0.609 0.500 1
Au2 0.391 0.891 0.500 1
Au3 0.609 0.109 0.500 1
Au4 0.891 0.391 0.500 1
```

Properties
As for the calculated volume: 29.320 Å³/atom. The calculated formation energy comes out at -0.672 eV/atom.

=====

Record 2
Material: Zr2VRe3
Method: DFT, GGA-PBE
State: optimized geometry

```
data_Zr2VRe3
_chemical_formula_sum 'Zr4 V2 Re6'
_cell_length_a 5.317
_cell_length_b 5.317
_cell_length_c 8.517
_cell_angle_alpha 90.00
_cell_angle_beta 90.00
_cell_angle_gamma 120.00
_space_group_name_H-M_alt 'P 1'
_space_group_IT_number 1
loop_
_space_group_symop_operation_xyz
'x,y,z'
loop_
_atom_site_label
_atom_site_fract_x
_atom_site_fract_y
_atom_site_fract_z
_atom_site_occupancy
Zr1 0.333 0.667 0.062 1
Zr2 0.333 0.667 0.438 1
Zr3 0.667 0.333 0.562 1
Zr4 0.667 0.333 0.938 1
V1 0.000 0.000 0.000 1
V2 0.000 0.000 0.500 1
Re1 0.169 0.338 0.750 1
Re2 0.169 0.831 0.750 1
Re3 0.338 0.169 0.250 1
Re4 0.662 0.831 0.750 1
Re5 0.831 0.169 0.250 1
Re6 0.831 0.662 0.250 1
```

Properties
As for the calculated volume: 17.373 Å³/atom. As for the polymorph energy (0 for the lowest one): 0.040 eV per formula unit. The calculated formation energy comes out at -0.379 eV/atom.